DFT (PBE) results for La6Os2AuCl3 after structural relaxation.

The structure in POSCAR format:
```
La6Os2AuCl3
1.0
-5.597 3.060 -3.611
-1.020 -2.718 6.731
3.962 6.699 1.989
La Os Au Cl
6 2 1 3
Direct
0.931 0.574 0.793
0.711 0.711 0.207
0.069 0.426 0.207
0.574 0.931 0.793
0.289 0.289 0.793
0.426 0.069 0.207
0.334 0.666 0.000
0.666 0.334 0.000
0.000 0.000 0.000
0.172 0.828 0.500
0.828 0.172 0.500
0.500 0.500 0.500
```

Calculated values
Its raw formation energy is -1245 kJ/mol of formula units. As for the symmetry: C2/m.

DFT (PBE) results for TlCd2SCl after structural relaxation.

The structure in POSCAR format:
```
TlCd2SCl
1.0
-1.263 0.609 4.792
-0.326 -7.608 0.881
4.826 -0.058 1.280
Tl Cl S Cd
1 1 1 2
Direct
0.500 0.500 0.500
0.000 0.500 0.000
0.000 0.000 0.000
0.000 0.000 0.500
0.500 0.000 0.000
```

Calculated values
The relative energy among the computed polymorphs is 0.0 meV/atom. Its raw formation energy is -55 kJ/mol of formula units. As for the symmetry: P4/mmm.

DFT (PBE) results for HgPPt2 after structural relaxation.

The structure in POSCAR format:
```
HgPPt2
1.0
-4.419 2.193 -1.579
-3.461 -0.318 -3.841
-2.289 -3.385 2.789
Hg P Pt
1 1 2
Direct
0.476 0.476 0.510
0.669 0.669 0.908
0.037 0.037 0.070
0.318 0.318 0.012
```

Calculated values
The relative energy among the computed polymorphs is 3.9 meV/atom. The value obtained for the calculated formation energy is -0.12 eV/atom. As for the symmetry: Cm.

DFT (PBE) results for HfInHg3 after structural relaxation.

The structure in POSCAR format:
```
HfInHg3
1.0
-0.100 -3.590 -4.271
-2.145 -3.919 3.344
-5.150 1.701 -1.310
Hf Hg In
1 3 1
Direct
0.000 0.000 0.000
0.000 0.500 0.000
0.000 0.000 0.500
0.500 0.000 0.000
0.500 0.500 0.500
```

Calculated values
The relative energy among the computed polymorphs is 0.0 meV/atom. The value obtained for the calculated formation energy is 0.55 eV/atom. As for the symmetry: Pm-3m.